DFT (PBE-GGA) results for a geometry-optimized NdSm4Se7 structure.

Cell lengths 7.1805, 7.1805, 12.4393 Å; angles 103.94, 103.94, 32.90 degrees
Element x y z (fractional)
Nd 0.0000 0.0000 0.0000
Sm 0.1131 0.1131 0.4221
Sm 0.2255 0.2255 0.8418
Sm 0.4128 0.4128 0.6093
Sm 0.8131 0.8131 0.2340
Se 0.0713 0.0713 0.6368
Se 0.1550 0.1550 0.2076
Se 0.3691 0.3691 0.0709
Se 0.4534 0.4534 0.3715
Se 0.6135 0.6135 0.9192
Se 0.7729 0.7729 0.4716
Se 0.8527 0.8527 0.7704

Calculated values
**Uncorrected formation energy**: -22.5 eV per formula unit
**Crystal system**: monoclinic
**Final energy**: -70.5 eV per cell